*a*
DFT (PBE) results for NaNdHgS3 after structural relaxation.

## Properties
- V (Å³/atom) = 23.83

abc: 8.096 4.189 16.867
angles: 90.00 90.00 90.00
Space group Pnma (No. 62)
Asymmetric unit:
1 Na 0.070 0.250 0.227 (multiplicity 4)
2 Nd 0.234 0.250 0.956 (multiplicity 4)
3 Hg 0.121 0.250 0.649 (multiplicity 4)
4 S 0.011 0.250 0.421 (multiplicity 4)
5 S 0.122 0.750 0.054 (multiplicity 4)
6 S 0.198 0.250 0.790 (multiplicity 4)

***

*b*
DFT (PBE) results for NaNdHgS3 after structural relaxation.

## Properties
- V (Å³/atom) = 28.34

abc: 14.461 4.139 11.363
angles: 90.00 90.00 90.00
Space group Pnma (No. 62)
Asymmetric unit:
1 Na 0.210 0.250 0.194 (multiplicity 4)
2 Nd 0.041 0.750 0.852 (multiplicity 4)
3 Hg 0.048 0.250 0.603 (multiplicity 4)
4 S 0.066 0.250 0.373 (multiplicity 4)
5 S 0.086 0.750 0.089 (multiplicity 4)
6 S 0.164 0.250 0.769 (multiplicity 4)

***

*c*
DFT (PBE) results for NaNdHgS3 after structural relaxation.

## Properties
- V (Å³/atom) = 25.04

abc: 17.537 4.081 8.727
angles: 90.00 105.83 90.00
Space group C2/m (No. 12)
Asymmetric unit:
1 Na 0.128 0.000 0.075 (multiplicity 4)
2 Nd 0.176 0.000 0.604 (multiplicity 4)
3 Hg 0.018 0.500 0.723 (multiplicity 4)
4 S 0.000 0.000 0.500 (multiplicity 2)
5 S 0.000 0.500 0.000 (multiplicity 2)
6 S 0.163 0.500 0.370 (multiplicity 4)
7 S 0.174 0.500 0.826 (multiplicity 4)

***

*d*
DFT (PBE) results for NaNdHgS3 after structural relaxation.

## Properties
- V (Å³/atom) = 25.32

abc: 4.142 13.302 11.029
angles: 90.00 90.00 90.00
Space group Cmcm (No. 63)
Asymmetric unit:
1 Na 0.000 0.244 0.250 (multiplicity 4)
2 Nd 0.000 0.500 0.000 (multiplicity 4)
3 Hg 0.000 0.043 0.750 (multiplicity 4)
4 S 0.000 0.141 0.557 (multiplicity 8)
5 S 0.000 0.417 0.750 (multiplicity 4)

***

Q: Which of them is the least stable? A: *c*.

***

*a*
DFT (PBE) results for NaNiHg after structural relaxation.

## Properties
- V (Å³/atom) = 21.52

abc: 6.368 6.368 6.368
angles: 90.00 90.00 90.00
Space group F-43m (No. 216)
Asymmetric unit:
1 Na 0.000 0.000 0.000 (multiplicity 4)
2 Ni 0.250 0.250 0.250 (multiplicity 4)
3 Hg 0.250 0.250 0.750 (multiplicity 4)

***

*b*
DFT (PBE) results for NaNiHg after structural relaxation.

## Properties
- V (Å³/atom) = 20.96

abc: 6.313 6.313 6.313
angles: 90.00 90.00 90.00
Space group F-43m (No. 216)
Asymmetric unit:
1 Na 0.000 0.000 0.000 (multiplicity 4)
2 Ni 0.250 0.250 0.750 (multiplicity 4)
3 Hg 0.000 0.000 0.500 (multiplicity 4)

***

Q: Which of them is the least stable? A: *a*.

***

*a*
DFT (PBE) results for Na2Hg2O3 after structural relaxation.

## Properties
- V (Å³/atom) = 18.55

abc: 6.0947 6.0947 12.1124
angles: 90.00 90.00 120.00
Space group R-3m (No. 166, hexagonal axes)
Asymmetric unit:
1 Na 0.0000 0.0000 0.0000 (multiplicity 3)
2 Na 0.0000 0.0000 0.5000 (multiplicity 3)
3 Hg 0.0000 0.0000 0.2330 (multiplicity 6)
4 O 0.0000 0.5000 0.0000 (multiplicity 9)

***

*b*
DFT (PBE) results for Na2Hg2O3 after structural relaxation.

## Properties
- V (Å³/atom) = 13.84

abc: 7.290 7.290 7.290
angles: 90.00 90.00 90.00
Space group I2_13 (No. 199)
Asymmetric unit:
1 Na 0.061 0.061 0.061 (multiplicity 8)
2 Hg 0.192 0.308 0.692 (multiplicity 8)
3 O 0.000 0.250 0.375 (multiplicity 12)

***

Q: Which of them is the least stable? A: *a*.

***

*a*
DFT (PBE) results for NaReHgOs after structural relaxation.

## Properties
- V (Å³/atom) = 16.41

abc: 6.403 6.403 6.403
angles: 90.00 90.00 90.00
Space group F-43m (No. 216)
Asymmetric unit:
1 Na 0.000 0.000 0.000 (multiplicity 4)
2 Re 0.250 0.250 0.250 (multiplicity 4)
3 Hg 0.250 0.250 0.750 (multiplicity 4)
4 Os 0.000 0.000 0.500 (multiplicity 4)

***

*b*
DFT (PBE) results for NaReHgOs after structural relaxation.

## Properties
- V (Å³/atom) = 16.53

abc: 6.419 6.419 6.419
angles: 90.00 90.00 90.00
Space group F-43m (No. 216)
Asymmetric unit:
1 Na 0.000 0.000 0.000 (multiplicity 4)
2 Re 0.000 0.000 0.500 (multiplicity 4)
3 Hg 0.250 0.250 0.250 (multiplicity 4)
4 Os 0.250 0.250 0.750 (multiplicity 4)

***

Q: Which of them is the least stable? A: *b*.

***

*a*
DFT (PBE) results for NaHgSbPt after structural relaxation.

## Properties
- V (Å³/atom) = 20.38

abc: 6.883 6.883 6.883
angles: 90.00 90.00 90.00
Space group F-43m (No. 216)
Asymmetric unit:
1 Na 0.000 0.000 0.000 (multiplicity 4)
2 Hg 0.250 0.250 0.250 (multiplicity 4)
3 Sb 0.250 0.250 0.750 (multiplicity 4)
4 Pt 0.000 0.000 0.500 (multiplicity 4)

***

*b*
DFT (PBE) results for NaHgSbPt after structural relaxation.

## Properties
- V (Å³/atom) = 20.99

abc: 6.951 6.951 6.951
angles: 90.00 90.00 90.00
Space group F-43m (No. 216)
Asymmetric unit:
1 Na 0.000 0.000 0.000 (multiplicity 4)
2 Hg 0.250 0.250 0.750 (multiplicity 4)
3 Sb 0.000 0.000 0.500 (multiplicity 4)
4 Pt 0.250 0.250 0.250 (multiplicity 4)

***

*c*
DFT (PBE) results for NaHgSbPt after structural relaxation.

## Properties
- V (Å³/atom) = 21.15

abc: 6.968 6.968 6.968
angles: 90.00 90.00 90.00
Space group F-43m (No. 216)
Asymmetric unit:
1 Na 0.000 0.000 0.000 (multiplicity 4)
2 Hg 0.000 0.000 0.500 (multiplicity 4)
3 Sb 0.250 0.250 0.750 (multiplicity 4)
4 Pt 0.250 0.250 0.250 (multiplicity 4)

***

Q: Which of them is the least stable? A: *c*.

***

*a*
DFT (PBE) results for Na2Hg2S3 after structural relaxation.

## Properties
- V (Å³/atom) = 20.98

abc: 8.375 8.375 8.375
angles: 90.00 90.00 90.00
Space group I2_13 (No. 199)
Asymmetric unit:
1 Na 0.073 0.073 0.073 (multiplicity 8)
2 Hg 0.185 0.315 0.685 (multiplicity 8)
3 S 0.000 0.250 0.381 (multiplicity 12)

***

*b*
DFT (PBE) results for Na2Hg2S3 after structural relaxation.

## Properties
- V (Å³/atom) = 21.05

abc: 5.5840 5.5840 16.3688
angles: 90.00 90.00 120.00
Space group R-3m (No. 166, hexagonal axes)
Asymmetric unit:
1 Na 0.0000 0.0000 0.0000 (multiplicity 3)
2 Na 0.0000 0.0000 0.5000 (multiplicity 3)
3 Hg 0.0000 0.0000 0.1826 (multiplicity 6)
4 S 0.0000 0.5000 0.0000 (multiplicity 9)

***

Q: Which of them is the least stable? A: *b*.

***

*a*
DFT (PBE) results for NaTmHgSe3 after structural relaxation.

## Properties
- V (Å³/atom) = 26.62

abc: 18.118 4.071 8.947
angles: 90.00 104.51 90.00
Space group C2/m (No. 12)
Asymmetric unit:
1 Na 0.130 0.000 0.083 (multiplicity 4)
2 Tm 0.178 0.000 0.592 (multiplicity 4)
3 Hg 0.029 0.500 0.726 (multiplicity 4)
4 Se 0.000 0.000 0.500 (multiplicity 2)
5 Se 0.000 0.500 0.000 (multiplicity 2)
6 Se 0.166 0.500 0.367 (multiplicity 4)
7 Se 0.183 0.500 0.816 (multiplicity 4)

***

*b*
DFT (PBE) results for NaTmHgSe3 after structural relaxation.

## Properties
- V (Å³/atom) = 26.29

abc: 4.121 13.887 11.025
angles: 90.00 90.00 90.00
Space group Cmcm (No. 63)
Asymmetric unit:
1 Na 0.000 0.247 0.250 (multiplicity 4)
2 Tm 0.000 0.000 0.000 (multiplicity 4)
3 Hg 0.000 0.457 0.750 (multiplicity 4)
4 Se 0.000 0.086 0.750 (multiplicity 4)
5 Se 0.000 0.361 0.547 (multiplicity 8)

***

*c*
DFT (PBE) results for NaTmHgSe3 after structural relaxation.

## Properties
- V (Å³/atom) = 26.77

abc: 13.840 4.137 11.222
angles: 90.00 90.00 90.00
Space group Pnma (No. 62)
Asymmetric unit:
1 Na 0.239 0.250 0.083 (multiplicity 4)
2 Tm 0.019 0.250 0.347 (multiplicity 4)
3 Hg 0.010 0.750 0.104 (multiplicity 4)
4 Se 0.105 0.250 0.571 (multiplicity 4)
5 Se 0.114 0.750 0.873 (multiplicity 4)
6 Se 0.148 0.750 0.265 (multiplicity 4)

***

*d*
DFT (PBE) results for NaTmHgSe3 after structural relaxation.

## Properties
- V (Å³/atom) = 25.00

abc: 8.225 4.208 17.330
angles: 90.00 90.00 90.00
Space group Pnma (No. 62)
Asymmetric unit:
1 Na 0.078 0.250 0.192 (multiplicity 4)
2 Tm 0.224 0.250 0.963 (multiplicity 4)
3 Hg 0.052 0.250 0.667 (multiplicity 4)
4 Se 0.010 0.250 0.428 (multiplicity 4)
5 Se 0.124 0.750 0.061 (multiplicity 4)
6 Se 0.212 0.250 0.796 (multiplicity 4)

***

Q: Which of them is the least stable? A: *d*.

***

*a*
DFT (PBE) results for NaTmHgSe3 after structural relaxation.

## Properties
- V (Å³/atom) = 27.32

abc: 11.584 4.088 13.847
angles: 90.00 90.00 90.00
Space group Pnma (No. 62)
Asymmetric unit:
1 Na 0.163 0.250 0.004 (multiplicity 4)
2 Tm 0.022 0.250 0.726 (multiplicity 4)
3 Hg 0.233 0.250 0.281 (multiplicity 4)
4 Se 0.056 0.750 0.869 (multiplicity 4)
5 Se 0.058 0.250 0.396 (multiplicity 4)
6 Se 0.244 0.250 0.651 (multiplicity 4)

***

*b*
DFT (PBE) results for NaTmHgSe3 after structural relaxation.

## Properties
- V (Å³/atom) = 27.29

abc: 8.177 4.142 10.011
angles: 90.00 105.04 90.00
Space group P2_1/m (No. 11)
Asymmetric unit:
1 Na 0.196 0.250 0.207 (multiplicity 2)
2 Tm 0.332 0.750 0.855 (multiplicity 2)
3 Hg 0.097 0.250 0.604 (multiplicity 2)
4 Se 0.089 0.250 0.866 (multiplicity 2)
5 Se 0.271 0.750 0.542 (multiplicity 2)
6 Se 0.434 0.750 0.146 (multiplicity 2)

***

Q: Which of them is the least stable? A: *a*.